(1)
TlW2Se | GGA-PBE | optimized geometry

Properties
**Total magnetic moment**: 0.00 μB per atom
**Volume**: 18.82 A^3/atom
**Space group**: Cmmm
**Polymorph energy (0 for the lowest one)**: 13.82 kcal/mol of atoms
**Energy relative to the elements, uncorrected**: 997 meV per atom

Cell: 3.1392 3.1392 9.1626 Å, 90.00 90.00 123.51°
Element x y z (fractional)
Se (0.5000, 0.5000, 0.2500)
Tl (0.5000, 0.5000, 0.7500)
W (0.0000, 0.0000, 0.0266)
W (0.0000, 0.0000, 0.4734)


(2)
Tl2WSe | GGA-PBE | optimized geometry

Properties
**Total magnetic moment**: 0.05 μB per atom
**Volume**: 22.24 A^3/atom
**Space group**: R-3m
**Polymorph energy (0 for the lowest one)**: 14.37 kcal/mol of atoms
**Energy relative to the elements, uncorrected**: 880 meV per atom

Cell: 10.8897 10.8897 10.8897 Å, 16.32 16.32 16.32°
Element x y z (fractional)
Se (0.7500, 0.7500, 0.7500)
Tl (0.9948, 0.9948, 0.9948)
Tl (0.5052, 0.5052, 0.5052)
W (0.2500, 0.2500, 0.2500)


(3)
TlWSe | GGA-PBE | optimized geometry

Properties
**Total magnetic moment**: 0.00 μB per atom
**Volume**: 26.58 A^3/atom
**Space group**: P2_1/m
**Polymorph energy (0 for the lowest one)**: 0.07 kcal/mol of atoms
**Energy relative to the elements, uncorrected**: 76 meV per atom

Cell: 3.3498 4.2144 11.2975 Å, 90.00 90.35 90.00°
Element x y z (fractional)
Tl (0.7478, 0.2500, 0.9069)
Tl (0.2522, 0.7500, 0.0931)
W (0.2502, 0.2500, 0.5096)
W (0.7498, 0.7500, 0.4904)
Se (0.7468, 0.2500, 0.3406)
Se (0.2532, 0.7500, 0.6594)


(4)
TlW2Se | GGA-PBE | optimized geometry

Properties
**Total magnetic moment**: 0.00 μB per atom
**Volume**: 18.63 A^3/atom
**Space group**: Immm
**Polymorph energy (0 for the lowest one)**: 12.15 kcal/mol of atoms
**Energy relative to the elements, uncorrected**: 924 meV per atom

Cell: 5.6074 5.6074 5.6074 Å, 149.24 123.33 65.88°
Element x y z (fractional)
Se (0.7500, 0.2500, 0.5000)
Tl (0.2500, 0.7500, 0.5000)
W (0.9687, 0.9687, 0.0000)
W (0.5313, 0.5313, 0.0000)


(5)
TlW2Se | GGA-PBE | optimized geometry

Properties
**Total magnetic moment**: 0.00 μB per atom
**Volume**: 17.51 A^3/atom
**Space group**: Fm-3m
**Polymorph energy (0 for the lowest one)**: 16.05 kcal/mol of atoms
**Energy relative to the elements, uncorrected**: 1093 meV per atom

Cell: 4.6268 4.6268 4.6268 Å, 60.00 60.00 60.00°
Element x y z (fractional)
Tl (0.5000, 0.5000, 0.5000)
Se (0.0000, 0.0000, 0.0000)
W (0.2500, 0.2500, 0.2500)
W (0.7500, 0.7500, 0.7500)


(6)
TlWSe | GGA-PBE | optimized geometry

Properties
**Total magnetic moment**: 0.00 μB per atom
**Volume**: 24.05 A^3/atom
**Space group**: P-1
**Polymorph energy (0 for the lowest one)**: 0.48 kcal/mol of atoms
**Energy relative to the elements, uncorrected**: 94 meV per atom

Cell: 3.1982 5.0786 9.1233 Å, 79.55 82.98 84.77°
Element x y z (fractional)
Tl (0.6150, 0.8213, 0.8394)
Tl (0.3850, 0.1787, 0.1606)
W (0.7896, 0.2284, 0.5114)
W (0.2104, 0.7716, 0.4886)
Se (0.1841, 0.3733, 0.7013)
Se (0.8159, 0.6267, 0.2987)


(7)
TlW2Se | GGA-PBE | optimized geometry

Properties
**Total magnetic moment**: 0.00 μB per atom
**Volume**: 19.21 A^3/atom
**Space group**: C2/m
**Polymorph energy (0 for the lowest one)**: 16.12 kcal/mol of atoms
**Energy relative to the elements, uncorrected**: 1097 meV per atom

Cell: 5.7012 5.7012 3.3917 Å, 73.12 73.12 120.63°
Element x y z (fractional)
Se (0.5000, 0.0000, 0.5000)
Tl (0.0000, 0.5000, 0.5000)
W (0.0000, 0.0000, 0.0000)
W (0.5000, 0.5000, 0.0000)


(8)
Tl3WSe | GGA-PBE | optimized geometry

Properties
**Total magnetic moment**: 0.62 μB per atom
**Volume**: 32.62 A^3/atom
**Space group**: Pm-3m
**Polymorph energy (0 for the lowest one)**: 0.00 kcal/mol of atoms
**Energy relative to the elements, uncorrected**: 882 meV per atom

Cell: 5.4639 5.4639 5.4639 Å, 90.00 90.00 90.00°
Element x y z (fractional)
Tl (0.0000, 0.5000, 0.0000)
Tl (0.0000, 0.0000, 0.5000)
Tl (0.5000, 0.0000, 0.0000)
Se (0.5000, 0.5000, 0.5000)
W (0.0000, 0.0000, 0.0000)


(9)
TlW2Se | GGA-PBE | optimized geometry

Properties
**Total magnetic moment**: 0.00 μB per atom
**Volume**: 20.88 A^3/atom
**Space group**: P4mm
**Polymorph energy (0 for the lowest one)**: 0.42 kcal/mol of atoms
**Energy relative to the elements, uncorrected**: 416 meV per atom

Cell: 3.2148 3.2148 8.0812 Å, 90.00 90.00 90.00°
Element x y z (fractional)
Se (0.0000, 0.0000, 0.4164)
Tl (0.5000, 0.5000, 0.7935)
W (0.0000, 0.0000, 0.0568)
W (0.5000, 0.5000, 0.2333)


(10)
Tl4WSe | GGA-PBE | optimized geometry

Properties
**Total magnetic moment**: 0.74 μB per atom
**Volume**: 29.13 A^3/atom
**Space group**: F-43m
**Energy relative to the elements, uncorrected**: 1071 meV per atom

Cell: 6.2758 6.2758 6.2758 Å, 60.00 60.00 60.00°
Element x y z (fractional)
Tl (0.8751, 0.3750, 0.3750)
Tl (0.3750, 0.3750, 0.8751)
Tl (0.3750, 0.8751, 0.3750)
Tl (0.3750, 0.3750, 0.3750)
W (0.7500, 0.7500, 0.7500)
Se (0.0000, 0.0000, 0.0000)


(11)
TlW2Se | GGA-PBE | optimized geometry

Properties
**Total magnetic moment**: 0.00 μB per atom
**Volume**: 19.29 A^3/atom
**Space group**: P2/m
**Polymorph energy (0 for the lowest one)**: 14.02 kcal/mol of atoms
**Energy relative to the elements, uncorrected**: 1006 meV per atom

Cell: 4.1909 3.3242 5.5454 Å, 87.43 90.00 90.00°
Element x y z (fractional)
Se (0.5000, 0.2500, 0.2500)
Tl (0.5000, 0.7500, 0.7500)
W (0.0000, 0.2080, 0.9868)
W (0.0000, 0.2920, 0.5132)


(12)
TlW2Se | GGA-PBE | optimized geometry

Properties
**Total magnetic moment**: 0.00 μB per atom
**Volume**: 17.50 A^3/atom
**Space group**: P4/mmm
**Polymorph energy (0 for the lowest one)**: 15.55 kcal/mol of atoms
**Energy relative to the elements, uncorrected**: 1072 meV per atom

Cell: 4.6738 4.6738 3.2036 Å, 90.00 90.00 89.96°
Element x y z (fractional)
Se (0.5000, 0.0000, 0.5000)
Tl (0.0000, 0.5000, 0.5000)
W (0.0000, 0.0000, 0.0000)
W (0.5000, 0.5000, 0.0000)


- What is the total magnetic moment in the second record?
  0.05 μB per atom